Entry 1:
Material: Ca2Ge2Bi
Method: DFT, meta-GGA SCAN
State: single point on PBEsol structure

Geometry as CIF:
```
data_Ca2Ge2Bi
_chemical_formula_sum 'Ca4 Ge4 Bi2'
_cell_length_a 4.347
_cell_length_b 7.588
_cell_length_c 7.588
_cell_angle_alpha 90.00
_cell_angle_beta 90.00
_cell_angle_gamma 90.00
_symmetry_space_group_name_H-M 'P 1'
_symmetry_Int_Tables_number 1
loop_
_symmetry_equiv_pos_as_xyz
'x,y,z'
loop_
_atom_site_label
_atom_site_type_symbol
_atom_site_fract_x
_atom_site_fract_y
_atom_site_fract_z
Ge1 Ge 0.000 0.384 0.884
Ge2 Ge 0.000 0.884 0.616
Ge3 Ge 0.000 0.616 0.116
Ge4 Ge 0.000 0.116 0.384
Ca1 Ca 0.500 0.177 0.677
Ca2 Ca 0.500 0.677 0.823
Ca3 Ca 0.500 0.823 0.323
Ca4 Ca 0.500 0.323 0.177
Bi1 Bi 0.000 0.000 0.000
Bi2 Bi 0.000 0.500 0.500
```

Results
Crystal system ... tetragonal
Formation energy from the elements ... -0.6347 eV/atom

=====

Entry 2:
Material: Ca2BiH2
Method: DFT, meta-GGA SCAN
State: single point on PBEsol structure

Geometry as CIF:
```
data_Ca2BiH2
_chemical_formula_sum 'Ca4 Bi2 H4'
_cell_length_a 3.253
_cell_length_b 7.617
_cell_length_c 7.617
_cell_angle_alpha 90.00
_cell_angle_beta 90.00
_cell_angle_gamma 90.00
_symmetry_space_group_name_H-M 'P 1'
_symmetry_Int_Tables_number 1
loop_
_symmetry_equiv_pos_as_xyz
'x,y,z'
loop_
_atom_site_label
_atom_site_type_symbol
_atom_site_fract_x
_atom_site_fract_y
_atom_site_fract_z
H1 H 0.000 0.405 0.905
H2 H 0.000 0.905 0.595
H3 H 0.000 0.595 0.095
H4 H 0.000 0.095 0.405
Ca1 Ca 0.500 0.146 0.646
Ca2 Ca 0.500 0.646 0.854
Ca3 Ca 0.500 0.854 0.354
Ca4 Ca 0.500 0.354 0.146
Bi1 Bi 0.000 0.000 0.000
Bi2 Bi 0.000 0.500 0.500
```

Results
Energy relative to the lowest polymorph listed for this composition ... 0.450 eV per atom
Crystal system ... tetragonal

=====

Copy entry 1 word for word.
Material: Ca2Ge2Bi
Method: DFT, meta-GGA SCAN
State: single point on PBEsol structure

Geometry as CIF:
```
data_Ca2Ge2Bi
_chemical_formula_sum 'Ca4 Ge4 Bi2'
_cell_length_a 4.347
_cell_length_b 7.588
_cell_length_c 7.588
_cell_angle_alpha 90.00
_cell_angle_beta 90.00
_cell_angle_gamma 90.00
_symmetry_space_group_name_H-M 'P 1'
_symmetry_Int_Tables_number 1
loop_
_symmetry_equiv_pos_as_xyz
'x,y,z'
loop_
_atom_site_label
_atom_site_type_symbol
_atom_site_fract_x
_atom_site_fract_y
_atom_site_fract_z
Ge1 Ge 0.000 0.384 0.884
Ge2 Ge 0.000 0.884 0.616
Ge3 Ge 0.000 0.616 0.116
Ge4 Ge 0.000 0.116 0.384
Ca1 Ca 0.500 0.177 0.677
Ca2 Ca 0.500 0.677 0.823
Ca3 Ca 0.500 0.823 0.323
Ca4 Ca 0.500 0.323 0.177
Bi1 Bi 0.000 0.000 0.000
Bi2 Bi 0.000 0.500 0.500
```

Results
Crystal system ... tetragonal
Formation energy from the elements ... -0.6347 eV/atom

=====

Please write out number 2 again, unchanged.
Material: Ca2BiH2
Method: DFT, meta-GGA SCAN
State: single point on PBEsol structure

Geometry as CIF:
```
data_Ca2BiH2
_chemical_formula_sum 'Ca4 Bi2 H4'
_cell_length_a 3.253
_cell_length_b 7.617
_cell_length_c 7.617
_cell_angle_alpha 90.00
_cell_angle_beta 90.00
_cell_angle_gamma 90.00
_symmetry_space_group_name_H-M 'P 1'
_symmetry_Int_Tables_number 1
loop_
_symmetry_equiv_pos_as_xyz
'x,y,z'
loop_
_atom_site_label
_atom_site_type_symbol
_atom_site_fract_x
_atom_site_fract_y
_atom_site_fract_z
H1 H 0.000 0.405 0.905
H2 H 0.000 0.905 0.595
H3 H 0.000 0.595 0.095
H4 H 0.000 0.095 0.405
Ca1 Ca 0.500 0.146 0.646
Ca2 Ca 0.500 0.646 0.854
Ca3 Ca 0.500 0.854 0.354
Ca4 Ca 0.500 0.354 0.146
Bi1 Bi 0.000 0.000 0.000
Bi2 Bi 0.000 0.500 0.500
```

Results
Energy relative to the lowest polymorph listed for this composition ... 0.450 eV per atom
Crystal system ... tetragonal